A plane-wave DFT calculation with PBE-GGA was carried out for a relaxed Ba2YTcN crystal.

Properties
magnetic moment	1.03	μB/f.u.
uncorrected formation energy	1.7352	eV per atom
density	3.8	g/cm³

a = 6.654 Å, b = 6.654 Å, c = 4.716 Å
α = 90.00°, β = 90.00°, γ = 90.00°
Space group P4/mmm (No. 123)
Symmetry-distinct sites (fractional):
Ba 0.000 0.500 0.000
Y 0.000 0.000 0.000
Tc 0.000 0.000 0.500
N 0.500 0.500 0.500

=====

A plane-wave DFT calculation with PBE-GGA was carried out for a relaxed Ba2YTc2N6 crystal.

Properties
magnetic moment	0.00	μB/f.u.
uncorrected formation energy	-0.6655	eV per atom
density	5.3	g/cm³

a = 10.814 Å, b = 6.155 Å, c = 7.231 Å
α = 90.00°, β = 123.25°, γ = 90.00°
Space group C2/m (No. 12)
Symmetry-distinct sites (fractional):
Ba 0.217 0.000 0.193
Y 0.000 0.000 0.500
Tc 0.040 0.500 0.204
N 0.044 0.259 0.769
N 0.237 0.500 0.352

=====

A plane-wave DFT calculation with PBE-GGA was carried out for a relaxed BaYTcN3 crystal.

Properties
magnetic moment	0.00	μB/f.u.
uncorrected formation energy	-0.7539	eV per atom
density	6.3	g/cm³

a = 13.537 Å, b = 3.901 Å, c = 7.574 Å
α = 90.00°, β = 104.80°, γ = 90.00°
Space group C2/m (No. 12)
Symmetry-distinct sites (fractional):
Ba 0.140 0.000 0.078
Y 0.159 0.000 0.566
Tc 0.005 0.500 0.679
N 0.003 0.000 0.315
N 0.147 0.500 0.791
N 0.162 0.500 0.365

=====

A plane-wave DFT calculation with PBE-GGA was carried out for a relaxed BaY2TcN4 crystal.

Properties
magnetic moment	0.00	μB/f.u.
uncorrected formation energy	-0.9769	eV per atom
density	5.9	g/cm³

a = 3.489 Å, b = 12.382 Å, c = 12.134 Å
α = 90.00°, β = 90.00°, γ = 90.00°
Space group Cmcm (No. 63)
Symmetry-distinct sites (fractional):
Ba 0.000 0.071 0.250
Y 0.000 0.371 0.041
Tc 0.000 0.192 0.750
N 0.000 0.000 0.000
N 0.000 0.256 0.610
N 0.000 0.394 0.250

=====

A plane-wave DFT calculation with PBE-GGA was carried out for a relaxed BaTeN2 crystal.

Properties
magnetic moment	0.00	μB/f.u.
uncorrected formation energy	0.3251	eV per atom
density	5.4	g/cm³

a = 5.647 Å, b = 5.647 Å, c = 11.265 Å
α = 90.00°, β = 90.00°, γ = 90.00°
Space group I-42d (No. 122)
Symmetry-distinct sites (fractional):
Ba 0.000 0.000 0.000
Te 0.000 0.000 0.500
N 0.165 0.250 0.625

=====

A plane-wave DFT calculation with PBE-GGA was carried out for a relaxed Ba2TeN crystal.

Properties
offset from the most stable computed form	0	meV/atom
magnetic moment	1.00	μB/f.u.
uncorrected formation energy	-0.7461	eV per atom
density	4.9	g/cm³

a = 8.018 Å, b = 8.018 Å, c = 8.747 Å
α = 90.00°, β = 90.00°, γ = 90.00°
Space group I-42d (No. 122)
Symmetry-distinct sites (fractional):
Ba 0.166 0.250 0.125
Te 0.000 0.000 0.500
N 0.000 0.000 0.000

=====

A plane-wave DFT calculation with PBE-GGA was carried out for a relaxed Ba3TeN crystal.

Properties
offset from the most stable computed form	35	meV/atom
magnetic moment	0.96	μB/f.u.
uncorrected formation energy	-0.8383	eV per atom
density	4.9	g/cm³

a = 9.655 Å, b = 7.251 Å, c = 12.484 Å
α = 90.00°, β = 120.92°, γ = 90.00°
Space group P2_1/c (No. 14)
Symmetry-distinct sites (fractional):
Ba 0.057 0.054 0.380
Ba 0.190 0.572 0.517
Ba 0.351 0.224 0.774
Te 0.366 0.732 0.836
N 0.079 0.245 0.570

=====

A plane-wave DFT calculation with PBE-GGA was carried out for a relaxed BaTeN2 crystal.

Properties
magnetic moment	0.00	μB/f.u.
uncorrected formation energy	-0.6962	eV per atom
density	3.7	g/cm³

a = 7.880 Å, b = 8.211 Å, c = 8.167 Å
α = 90.00°, β = 90.00°, γ = 90.00°
Space group C222_1 (No. 20)
Symmetry-distinct sites (fractional):
Ba 0.000 0.249 0.250
Te 0.248 0.000 0.000
N 0.241 0.451 0.048

=====

A plane-wave DFT calculation with PBE-GGA was carried out for a relaxed BaTe2N2 crystal.

Properties
offset from the most stable computed form	1359	meV/atom
magnetic moment	8.01	μB/f.u.
uncorrected formation energy	1.8079	eV per atom
density	2.6	g/cm³

a = 7.009 Å, b = 7.009 Å, c = 5.398 Å
α = 90.00°, β = 90.00°, γ = 90.00°
Space group P4/mmm (No. 123)
Symmetry-distinct sites (fractional):
Ba 0.000 0.000 0.000
Te 0.000 0.500 0.000
N 0.000 0.000 0.500
N 0.500 0.500 0.500

=====

A plane-wave DFT calculation with PBE-GGA was carried out for a relaxed Ba6TeN3 crystal.

Properties
magnetic moment	0.00	μB/f.u.
uncorrected formation energy	-0.6490	eV per atom
density	4.7	g/cm³

a = 11.925 Å, b = 4.240 Å, c = 14.467 Å
α = 90.00°, β = 106.62°, γ = 90.00°
Space group P2_1/m (No. 11)
Symmetry-distinct sites (fractional):
Ba 0.028 0.250 0.282
Ba 0.136 0.250 0.558
Ba 0.187 0.750 0.109
Ba 0.298 0.750 0.390
Ba 0.372 0.750 0.929
Ba 0.456 0.250 0.228
Te 0.127 0.250 0.903
N 0.088 0.750 0.431
N 0.240 0.250 0.259
N 0.443 0.750 0.111

=====

A plane-wave DFT calculation with PBE-GGA was carried out for a relaxed Ba3TeN crystal.

Properties
offset from the most stable computed form	60	meV/atom
magnetic moment	0.00	μB/f.u.
uncorrected formation energy	-0.8135	eV per atom
density	5.3	g/cm³

a = 5.566 Å, b = 5.566 Å, c = 5.566 Å
α = 90.00°, β = 90.00°, γ = 90.00°
Space group Pm-3m (No. 221)
Symmetry-distinct sites (fractional):
Ba 0.000 0.000 0.500
Te 0.500 0.500 0.500
N 0.000 0.000 0.000

=====

A plane-wave DFT calculation with PBE-GGA was carried out for a relaxed BaTe2N2 crystal.

Properties
offset from the most stable computed form	0	meV/atom
magnetic moment	0.00	μB/f.u.
uncorrected formation energy	0.4492	eV per atom
density	6.0	g/cm³

a = 4.657 Å, b = 4.657 Å, c = 10.808 Å
α = 90.00°, β = 90.00°, γ = 90.00°
Space group I4/mmm (No. 139)
Symmetry-distinct sites (fractional):
Ba 0.000 0.000 0.000
Te 0.000 0.000 0.303
N 0.000 0.500 0.250

=====

A plane-wave DFT calculation with PBE-GGA was carried out for a relaxed Ba2TeN crystal.

Properties
offset from the most stable computed form	417	meV/atom
magnetic moment	1.00	μB/f.u.
uncorrected formation energy	-0.3288	eV per atom
density	5.5	g/cm³

a = 7.957 Å, b = 7.957 Å, c = 7.957 Å
α = 90.00°, β = 90.00°, γ = 90.00°
Space group Fm-3m (No. 225)
Symmetry-distinct sites (fractional):
Ba 0.250 0.250 0.250
Te 0.000 0.000 0.000
N 0.000 0.000 0.500

=====

A plane-wave DFT calculation with PBE-GGA was carried out for a relaxed Ba2Te2N crystal.

Properties
offset from the most stable computed form	0	meV/atom
magnetic moment	3.00	μB/f.u.
uncorrected formation energy	-0.3168	eV per atom
density	4.6	g/cm³

a = 9.454 Å, b = 9.454 Å, c = 4.433 Å
α = 90.00°, β = 90.00°, γ = 90.00°
Space group P4/mbm (No. 127)
Symmetry-distinct sites (fractional):
Ba 0.151 0.349 0.000
Te 0.151 0.651 0.500
N 0.000 0.000 0.500

=====

A plane-wave DFT calculation with PBE-GGA was carried out for a relaxed BaTe2N2 crystal.

Properties
offset from the most stable computed form	269	meV/atom
magnetic moment	1.74	μB/f.u.
uncorrected formation energy	0.7184	eV per atom
density	5.6	g/cm³

a = 4.580 Å, b = 4.580 Å, c = 5.909 Å
α = 90.00°, β = 90.00°, γ = 90.00°
Space group P4/mmm (No. 123)
Symmetry-distinct sites (fractional):
Ba 0.000 0.000 0.000
Te 0.500 0.500 0.000
Te 0.500 0.500 0.500
N 0.000 0.500 0.500

=====

A plane-wave DFT calculation with PBE-GGA was carried out for a relaxed Ba3TeN crystal.

Properties
offset from the most stable computed form	0	meV/atom
magnetic moment	0.00	μB/f.u.
uncorrected formation energy	-0.8733	eV per atom
density	4.8	g/cm³

a = 26.869 Å, b = 5.499 Å, c = 5.238 Å
α = 90.00°, β = 90.01°, γ = 90.00°
Space group C2/m (No. 12)
Symmetry-distinct sites (fractional):
Ba 0.066 0.000 0.252
Ba 0.080 0.500 0.752
Ba 0.188 0.000 0.752
Te 0.173 0.500 0.252
N 0.095 0.000 0.752

=====

A plane-wave DFT calculation with PBE-GGA was carried out for a relaxed BaTe2N2 crystal.

Properties
offset from the most stable computed form	61	meV/atom
magnetic moment	0.00	μB/f.u.
uncorrected formation energy	0.5105	eV per atom
density	5.4	g/cm³

a = 8.553 Å, b = 8.553 Å, c = 3.531 Å
α = 90.00°, β = 90.00°, γ = 90.00°
Space group P4/mbm (No. 127)
Symmetry-distinct sites (fractional):
Ba 0.000 0.000 0.000
Te 0.136 0.364 0.000
N 0.234 0.266 0.500

=====

A plane-wave DFT calculation with PBE-GGA was carried out for a relaxed Ba12Te3N5 crystal.

Properties
magnetic moment	0.01	μB/f.u.
uncorrected formation energy	-0.6927	eV per atom
density	4.8	g/cm³

a = 18.039 Å, b = 18.039 Å, c = 18.039 Å
α = 90.00°, β = 90.00°, γ = 90.00°
Space group Ia-3d (No. 230)
Symmetry-distinct sites (fractional):
Ba 0.034 0.050 0.649
Te 0.000 0.250 0.125
N 0.000 0.000 0.000
N 0.000 0.250 0.375

=====

A plane-wave DFT calculation with PBE-GGA was carried out for a relaxed Ba2Te2N crystal.

Properties
offset from the most stable computed form	68	meV/atom
magnetic moment	0.00	μB/f.u.
uncorrected formation energy	-0.2486	eV per atom
density	5.0	g/cm³

a = 6.683 Å, b = 6.683 Å, c = 8.037 Å
α = 90.00°, β = 90.00°, γ = 90.00°
Space group I4/mmm (No. 139)
Symmetry-distinct sites (fractional):
Ba 0.000 0.500 0.250
Te 0.000 0.000 0.210
N 0.000 0.000 0.500

=====

A plane-wave DFT calculation with PBE-GGA was carried out for a relaxed Ba2TeN crystal.

Properties
offset from the most stable computed form	303	meV/atom
magnetic moment	1.00	μB/f.u.
uncorrected formation energy	-0.4429	eV per atom
density	3.4	g/cm³

a = 5.3187 Å, b = 5.3187 Å, c = 24.9370 Å
α = 90.00°, β = 90.00°, γ = 120.00°
Space group R-3m (No. 166, hexagonal axes)
Symmetry-distinct sites (fractional):
Ba 0.0000 0.0000 0.0916
Te 0.0000 0.0000 0.5000
N 0.0000 0.0000 0.0000